Crystalline SrSmCdHg at its relaxed geometry, computed with PBE-GGA.

Values from the calculation:
Its formation energy is -0.411 eV/atom. The uncorrected energy is -9.261 eV for the cell shown. The value obtained for the energy above the most stable polymorph in this dataset is 0.0000 eV/atom. The density comes out at 7.6 g/cm³. The space-group type is P4mm, No. 99.

a = 3.9170 Å, b = 3.9170 Å, c = 7.8101 Å
α = 90.00°, β = 90.00°, γ = 90.00°
Closest atoms and distances in Å follow each position.
Element x y z (fractional)
Cd1 0.5000 0.5000 0.5811  4 Sm 3.30, 1 Hg 3.49, 4 Sr 3.52
Sm1 0.0000 0.0000 0.3525  4 Hg 3.25, 4 Cd 3.30
Sr1 0.0000 0.0000 0.8601  4 Hg 3.50, 4 Cd 3.52, 1 Sm 3.85, 4 Sr 3.92
Hg1 0.5000 0.5000 0.1343  4 Sm 3.25, 1 Cd 3.49, 4 Sr 3.50